The following is a DFT calculation (GGA+U) of crystalline RhWF2 at its relaxed geometry.

Calculated values
The size of the total moment comes out at 4.3 μB/cell. As for the total energy: -5.08 eV/atom. The calculation puts the energy above the lowest structure with this stoichiometry at 0.000 eV/atom.

The structure in CIF format:
```
data_RhWF2
_cell_length_a 2.8860
_cell_length_b 2.8860
_cell_length_c 31.2157
_cell_angle_alpha 90.00
_cell_angle_beta 90.00
_cell_angle_gamma 120.00
_space_group_name_H-M_alt 'R -3 m'
_space_group_IT_number 166
_space_group_name_Hall '-R 3 2"'
loop_
_atom_site_label
_atom_site_type_symbol
_atom_site_fract_x
_atom_site_fract_y
_atom_site_fract_z
_atom_site_occupancy
Rh1 Rh 0.0000 0.0000 0.0000 1
W1 W 0.0000 0.0000 0.5000 1
F1 F 0.0000 0.0000 0.4398 1
```